No. 1
Density functional theory data (GGA-PBE) for LiLa3Th3Se8 after structural relaxation.

Summary:
Space group: R-3m, No. 166

Lattice parameters (Å, degrees): 8.4128 8.4128 8.4993 119.65 90.00 120.02
Closest atoms and distances in Å follow each position.
Fractional positions:
Li (0.0000, 0.0000, 0.5000)  6 Se 2.91
La (0.0000, 0.0000, 0.0000)  6 Se 3.00-3.03
La (0.0000, 0.5000, 0.0000)  6 Se 3.00-3.03
La (0.5000, 0.5000, 0.0000)  6 Se 3.00-3.03
Th (0.5000, 0.0000, 0.5000)  6 Se 2.96-2.98
Th (0.5000, 0.5000, 0.5000)  6 Se 2.96-2.97
Th (0.0000, 0.5000, 0.5000)  6 Se 2.96-2.97
Se (0.2512, 0.5024, 0.2536)  3 Th 2.97-2.98, 3 La 3.00
Se (0.7488, 0.4976, 0.7464)  3 Th 2.97-2.98, 3 La 3.00
Se (0.7566, 0.5131, 0.2622)  1 Li 2.91, 2 Th 2.96, 2 La 3.03
Se (0.2434, 0.4869, 0.7378)  1 Li 2.91, 2 Th 2.96, 2 La 3.03
Se (0.7566, 0.0057, 0.2622)  1 Li 2.91, 2 Th 2.96, 2 La 3.03
Se (0.2434, 0.9943, 0.7378)  1 Li 2.91, 2 Th 2.96, 2 La 3.03
Se (0.2492, 0.0056, 0.2622)  1 Li 2.91, 2 Th 2.96, 2 La 3.03
Se (0.7508, 0.9944, 0.7378)  1 Li 2.91, 2 Th 2.96, 2 La 3.03

---

No. 2
Density functional theory data (GGA-PBE) for LiLaTmSe3 after structural relaxation.

Summary:
Space group: P2_1/m, No. 11

Lattice parameters (Å, degrees): 4.0438 8.4498 8.9146 104.05 90.00 90.00
Closest atoms and distances in Å follow each position.
Fractional positions:
Li (0.2500, 0.0875, 0.5854)  4 Se 2.49-2.55, 2 Li 2.74
Li (0.7500, 0.9125, 0.4146)  4 Se 2.49-2.55, 2 Li 2.74
La (0.2500, 0.1906, 0.2283)  7 Se 3.04-3.16
La (0.7500, 0.8094, 0.7717)  7 Se 3.04-3.16
Tm (0.2500, 0.6684, 0.1592)  6 Se 2.82-2.89
Tm (0.7500, 0.3316, 0.8408)  6 Se 2.82-2.89
Se (0.7500, 0.8997, 0.1323)  1 Li 2.49
Se (0.2500, 0.1003, 0.8677)  1 Li 2.49
Se (0.2500, 0.7767, 0.4929)  3 Li 2.51-2.55
Se (0.7500, 0.2233, 0.5071)  3 Li 2.51-2.55
Se (0.7500, 0.4390, 0.1717)  3 Tm 2.82-2.87, 2 La 3.04
Se (0.2500, 0.5610, 0.8283)  3 Tm 2.82-2.87, 2 La 3.04

---

No. 3
Density functional theory data (GGA-PBE) for Li3LaTm2Se6 after structural relaxation.

Summary:
Space group: C2/m, No. 12

Lattice parameters (Å, degrees): 7.1335 7.1335 6.9143 99.85 99.85 120.04
Closest atoms and distances in Å follow each position.
Fractional positions:
Li (0.1702, 0.8298, 0.5000)  6 Se 2.75-2.94
Li (0.8298, 0.1702, 0.5000)  6 Se 2.75-2.94
Li (0.5000, 0.5000, 0.5000)  6 Se 2.77-2.92
La (0.0000, 0.0000, 0.0000)  6 Se 2.98-2.99
Tm (0.3335, 0.6665, 0.0000)  6 Se 2.84-2.85
Tm (0.6665, 0.3335, 0.0000)  6 Se 2.84-2.85
Se (0.9162, 0.5677, 0.7476)  3 Li 2.75-2.92, 2 Tm 2.84-2.85, 1 La 2.98
Se (0.7362, 0.7362, 0.2552)  3 Li 2.77-2.94, 2 Tm 2.85, 1 La 2.99
Se (0.0838, 0.4323, 0.2524)  3 Li 2.75-2.92, 2 Tm 2.84-2.85, 1 La 2.98
Se (0.5677, 0.9162, 0.7476)  3 Li 2.75-2.92, 2 Tm 2.84-2.85, 1 La 2.98
Se (0.2638, 0.2638, 0.7448)  3 Li 2.77-2.94, 2 Tm 2.85, 1 La 2.99
Se (0.4323, 0.0838, 0.2524)  3 Li 2.75-2.92, 2 Tm 2.84-2.85, 1 La 2.98

---

No. 4
Density functional theory data (GGA-PBE) for LiLa3Tm3Se8 after structural relaxation.

Summary:
Space group: R-3m, No. 166

Lattice parameters (Å, degrees): 8.2158 8.2172 8.3323 119.54 90.00 120.01
Closest atoms and distances in Å follow each position.
Fractional positions:
Li (0.0000, 0.0000, 0.5000)  6 Se 2.87
La (0.0000, 0.0000, 0.0000)  6 Se 3.01-3.02
La (0.0000, 0.5000, 0.0000)  6 Se 3.01-3.02
La (0.5000, 0.5000, 0.0000)  6 Se 3.01-3.02
Tm (0.5000, 0.0000, 0.5000)  6 Se 2.84
Tm (0.5000, 0.5000, 0.5000)  6 Se 2.84
Tm (0.0000, 0.5000, 0.5000)  6 Se 2.84
Se (0.2574, 0.5147, 0.2720)  3 Tm 2.84, 3 La 3.02
Se (0.7426, 0.4853, 0.7280)  3 Tm 2.84, 3 La 3.02
Se (0.7548, 0.5096, 0.2690)  2 Tm 2.84, 1 Li 2.87, 2 La 3.01
Se (0.2452, 0.4904, 0.7310)  2 Tm 2.84, 1 Li 2.87, 2 La 3.01
Se (0.7548, 0.0143, 0.2690)  2 Tm 2.84, 1 Li 2.87, 2 La 3.01
Se (0.2452, 0.9857, 0.7310)  2 Tm 2.84, 1 Li 2.87, 2 La 3.01
Se (0.2598, 0.0143, 0.2687)  2 Tm 2.84, 1 Li 2.87, 2 La 3.01
Se (0.7402, 0.9857, 0.7313)  2 Tm 2.84, 1 Li 2.87, 2 La 3.01

---

No. 5
Density functional theory data (GGA-PBE) for Li2LaTmSe4 after structural relaxation.

Summary:
Space group: P2/m, No. 10

Lattice parameters (Å, degrees): 4.1609 7.2200 6.9274 110.29 90.00 90.00
Closest atoms and distances in Å follow each position.
Fractional positions:
Li (0.5000, 0.0000, 0.5000)  6 Se 2.93-2.96
Li (0.0000, 0.5000, 0.5000)  6 Se 2.82-2.83
La (0.0000, 0.0000, 0.0000)  6 Se 2.97-2.99
Tm (0.5000, 0.5000, 0.0000)  6 Se 2.85-2.87
Se (0.5000, 0.2670, 0.2580)  3 Li 2.83-2.96, 1 Tm 2.85, 2 La 2.97
Se (0.5000, 0.7330, 0.7420)  3 Li 2.83-2.96, 1 Tm 2.85, 2 La 2.97
Se (0.0000, 0.2620, 0.7475)  3 Li 2.82-2.93, 2 Tm 2.87, 1 La 2.99
Se (0.0000, 0.7380, 0.2525)  3 Li 2.82-2.93, 2 Tm 2.87, 1 La 2.99

---

No. 6
Density functional theory data (GGA-PBE) for LiLa2USe6 after structural relaxation.

Summary:
Space group: P2_1/c, No. 14

Lattice parameters (Å, degrees): 6.9149 7.7071 10.0961 90.00 87.61 90.00
Closest atoms and distances in Å follow each position.
Fractional positions:
Li (0.5000, 0.0000, 0.0000)  6 Se 2.68-2.79
Li (0.0000, 0.5000, 0.5000)  6 Se 2.68-2.79
La (0.0408, 0.8965, 0.2555)  6 Se 3.01-3.19
La (0.5408, 0.6035, 0.7555)  6 Se 3.01-3.19
La (0.9592, 0.1035, 0.7445)  6 Se 3.01-3.19
La (0.4592, 0.3965, 0.2445)  6 Se 3.01-3.19
U (0.5000, 0.0000, 0.5000)  6 Se 2.72-2.76
U (0.0000, 0.5000, 0.0000)  6 Se 2.72-2.76
Se (0.3246, 0.6821, 0.0597)  1 U 2.74, 1 Li 2.79, 1 La 3.06
Se (0.8246, 0.8179, 0.5597)  1 U 2.74, 1 Li 2.79, 1 La 3.06
Se (0.6754, 0.3179, 0.9403)  1 U 2.74, 1 Li 2.79, 1 La 3.06
Se (0.1754, 0.1821, 0.4403)  1 U 2.74, 1 Li 2.79, 1 La 3.06
Se (0.3291, 0.6890, 0.4350)  1 Li 2.76, 1 U 2.76, 1 La 3.07
Se (0.8291, 0.8110, 0.9350)  1 Li 2.76, 1 U 2.76, 1 La 3.07
Se (0.6709, 0.3110, 0.5650)  1 Li 2.76, 1 U 2.76, 1 La 3.07
Se (0.1709, 0.1890, 0.0650)  1 Li 2.76, 1 U 2.76, 1 La 3.07
Se (0.8659, 0.5384, 0.2560)  1 Li 2.68, 1 U 2.72
Se (0.3659, 0.9616, 0.7560)  1 Li 2.68, 1 U 2.72
Se (0.1341, 0.4616, 0.7440)  1 Li 2.68, 1 U 2.72
Se (0.6341, 0.0384, 0.2440)  1 Li 2.68, 1 U 2.72

---

Sequential raw total energy output: -6.21; -5.35; -5.07; -5.70; -5.09; -5.99 eV per atom
Sequential formation energy from raw total energies output: -1.75; -1.72; -1.70; -1.84; -1.70; -1.59 eV/atom